<P>
Ba2Bi2Pb3 PBE optimized geometry; SG = Cmmm; D(E_F) = 4.3 states/eV/f.u.; V = 38.445 A^3/atom
1.0
4.6973 0.0000 0.0000
0.0000 23.8117 0.0000
0.0000 0.0000 4.8121
Ba Bi Pb
4 4 6
direct
0.0000 0.1570 0.0000 Ba
0.0000 0.8430 0.0000 Ba
0.5000 0.3430 0.0000 Ba
0.5000 0.6570 0.0000 Ba
0.0000 0.2965 0.5000 Bi
0.0000 0.7035 0.5000 Bi
0.5000 0.2035 0.5000 Bi
0.5000 0.7965 0.5000 Bi
0.0000 0.0000 0.0000 Pb
0.0000 0.4353 0.5000 Pb
0.0000 0.5647 0.5000 Pb
0.5000 0.0647 0.5000 Pb
0.5000 0.5000 0.0000 Pb
0.5000 0.9353 0.5000 Pb



<Q>
Ba2Bi2Pb3 PBE optimized geometry; SG = C2/m; D(E_F) = 3.9 states/eV/f.u.; V = 37.569 A^3/atom
1.0
13.2439 0.0000 0.0000
0.0000 4.6839 0.0000
-0.4476 0.0000 8.4789
Ba Bi Pb
4 4 6
direct
0.1304 0.0000 0.2976 Ba
0.3696 0.5000 0.7024 Ba
0.6304 0.5000 0.2976 Ba
0.8696 0.0000 0.7024 Ba
0.1713 0.0000 0.8658 Bi
0.3287 0.5000 0.1342 Bi
0.6713 0.5000 0.8658 Bi
0.8287 0.0000 0.1342 Bi
0.0000 0.5000 0.0000 Pb
0.0930 0.5000 0.6357 Pb
0.4070 0.0000 0.3643 Pb
0.5000 0.0000 0.0000 Pb
0.5930 0.0000 0.6357 Pb
0.9070 0.5000 0.3643 Pb



We find <Q> to be the most stable, with the next structure 35 meV per atom higher.



<P>
BaBi2Pb4 PBE optimized geometry; SG = P4_2/mnm; D(E_F) = 3.8 states/eV/f.u.; V = 36.424 A^3/atom
1.0
9.5873 0.0000 0.0000
0.0000 9.5873 0.0000
0.0000 0.0000 5.5478
Ba Bi Pb
2 4 8
direct
0.0000 0.0000 0.0000 Ba
0.5000 0.5000 0.5000 Ba
0.2089 0.2089 0.5000 Bi
0.2911 0.7089 0.0000 Bi
0.7089 0.2911 0.0000 Bi
0.7911 0.7911 0.5000 Bi
0.0976 0.6461 0.5000 Pb
0.1461 0.4024 0.0000 Pb
0.3539 0.9024 0.5000 Pb
0.4024 0.1461 0.0000 Pb
0.5976 0.8539 0.0000 Pb
0.6461 0.0976 0.5000 Pb
0.8539 0.5976 0.0000 Pb
0.9024 0.3539 0.5000 Pb



<Q>
BaBi2Pb4 PBE optimized geometry; SG = P-1; D(E_F) = 4.3 states/eV/f.u.; V = 34.834 A^3/atom
1.0
5.5162 0.0000 0.0000
-2.3477 5.0853 0.0000
-1.1364 -2.6201 8.6924
Ba Bi Pb
1 2 4
direct
0.0000 0.0000 0.0000 Ba
0.2619 0.5539 0.8119 Bi
0.7381 0.4461 0.1881 Bi
0.1518 0.2914 0.4449 Pb
0.4431 0.8495 0.2970 Pb
0.5569 0.1505 0.7030 Pb
0.8482 0.7086 0.5551 Pb



We find <P> to be the most stable, with the next structure 23 meV per atom higher.



<P>
BaBiRhPb2 PBE optimized geometry; SG = P4/mmm; D(E_F) = 3.9 states/eV/f.u.; V = 32.685 A^3/atom
1.0
5.3368 0.0000 0.0000
0.0000 5.3368 0.0000
0.0000 0.0000 5.7380
Ba Bi Rh Pb
1 1 1 2
direct
0.0000 0.0000 0.0000 Ba
0.5000 0.5000 0.0000 Bi
0.5000 0.5000 0.5000 Rh
0.0000 0.5000 0.5000 Pb
0.5000 0.0000 0.5000 Pb



<Q>
BaBiRhPb2 PBE optimized geometry; SG = P4/mmm; D(E_F) = 1.5 states/eV/f.u.; V = 33.047 A^3/atom
1.0
5.3142 0.0000 0.0000
0.0000 5.3142 0.0000
0.0000 0.0000 5.8508
Ba Bi Rh Pb
1 1 1 2
direct
0.0000 0.0000 0.0000 Ba
0.5000 0.5000 0.0000 Bi
0.0000 0.0000 0.5000 Rh
0.0000 0.5000 0.5000 Pb
0.5000 0.0000 0.5000 Pb



We find <Q> to be the most stable, with the next structure 85 meV per atom higher.



<P>
Ba3BiPd PBE optimized geometry; SG = Pm-3m; D(E_F) = 3.7 states/eV/f.u.; V = 44.357 A^3/atom
1.0
6.0531 0.0000 0.0000
0.0000 6.0531 0.0000
0.0000 0.0000 6.0531
Ba Bi Pd
3 1 1
direct
0.0000 0.0000 0.5000 Ba
0.0000 0.5000 0.0000 Ba
0.5000 0.0000 0.0000 Ba
0.5000 0.5000 0.5000 Bi
0.0000 0.0000 0.0000 Pd



<Q>
Ba3BiPd PBE optimized geometry; SG = P2_1/m; D(E_F) = 3.6 states/eV/f.u.; V = 44.230 A^3/atom
1.0
9.2873 0.0000 0.0000
0.0000 4.8969 0.0000
-1.0162 0.0000 9.7255
Ba Bi Pd
6 2 2
direct
0.0892 0.2500 0.3229 Ba
0.2885 0.2500 0.9613 Ba
0.3685 0.7500 0.6086 Ba
0.6315 0.2500 0.3914 Ba
0.7115 0.7500 0.0387 Ba
0.9108 0.7500 0.6771 Ba
0.3808 0.7500 0.2250 Bi
0.6192 0.2500 0.7750 Bi
0.1443 0.2500 0.6489 Pd
0.8557 0.7500 0.3511 Pd



We find <Q> to be the most stable, with the next structure 105 meV per atom higher.



<P>
BaBi3Pd PBE optimized geometry; SG = Pc; D(E_F) = 2.4 states/eV/f.u.; V = 31.944 A^3/atom
1.0
6.7424 0.0000 0.0000
0.0000 6.6181 0.0000
-6.7384 0.0000 7.1588
Ba Bi Pd
2 6 2
direct
0.0000 0.1598 0.0000 Ba
0.0000 0.8402 0.5000 Ba
0.3023 0.3271 0.7588 Bi
0.3023 0.6729 0.2588 Bi
0.4436 0.1045 0.5000 Bi
0.4436 0.8955 0.0000 Bi
0.7847 0.3268 0.2418 Bi
0.7847 0.6732 0.7418 Bi
0.7381 0.3906 0.5008 Pd
0.7381 0.6094 0.0008 Pd



<Q>
BaBi3Pd PBE optimized geometry; SG = Pm-3m; D(E_F) = 4.6 states/eV/f.u.; V = 34.055 A^3/atom
1.0
5.5427 0.0000 0.0000
0.0000 5.5427 0.0000
0.0000 0.0000 5.5427
Ba Bi Pd
1 3 1
direct
0.0000 0.0000 0.0000 Ba
0.0000 0.5000 0.5000 Bi
0.5000 0.0000 0.5000 Bi
0.5000 0.5000 0.0000 Bi
0.5000 0.5000 0.5000 Pd



We find <P> to be the most stable, with the next structure 183 meV per atom higher.



<P>
BaBi3Pd PBE optimized geometry; SG = Pm-3m; D(E_F) = 11.4 states/eV/f.u.; V = 50.242 A^3/atom
1.0
6.3098 0.0000 0.0000
0.0000 6.3098 0.0000
0.0000 0.0000 6.3098
Ba Bi Pd
1 3 1
direct
0.0000 0.0000 0.0000 Ba
0.0000 0.0000 0.5000 Bi
0.0000 0.5000 0.0000 Bi
0.5000 0.0000 0.0000 Bi
0.5000 0.5000 0.5000 Pd



<Q>
BaBi3Pd PBE optimized geometry; SG = Cmmm; D(E_F) = 3.3 states/eV/f.u.; V = 33.173 A^3/atom
1.0
2.5910 -13.0091 0.0000
2.5910 13.0091 0.0000
0.0000 0.0000 4.9210
Ba Bi Pd
2 6 2
direct
0.1704 0.8296 0.0000 Ba
0.8296 0.1704 0.0000 Ba
0.0610 0.9390 0.5000 Bi
0.2833 0.7167 0.5000 Bi
0.4406 0.5594 0.0000 Bi
0.5594 0.4406 0.0000 Bi
0.7167 0.2833 0.5000 Bi
0.9390 0.0610 0.5000 Bi
0.3892 0.6108 0.5000 Pd
0.6108 0.3892 0.5000 Pd



We find <Q> to be the most stable, with the next structure 1674 meV per atom higher.